# K5InP2

K5InP2 after structural relaxation (PBE, Alexandria via LeMat-Bulk).

Cell lengths 5.744, 5.744, 10.301 Å; angles 73.81, 73.81, 60.00 degrees
Fractional positions:
K: 0.500 0.500 0.500
K: 0.380 0.380 0.861
K: 0.620 0.620 0.139
K: 0.226 0.226 0.323
K: 0.774 0.774 0.677
In: 0.000 0.000 0.000
P: 0.092 0.092 0.725
P: 0.908 0.908 0.275

Calculated values
energy relative to the elements = -124 meV per atom
N(E_F) = 6.551 states/eV/f.u.